Computed, not measured: a relaxed ZrTi2 crystal at the PBE level of DFT.

Calculated values
- SG = Fd-3m (227)
- DOS(E_F) (states/eV per atom) = 1.28
- VASP energy (eV/atom) = -7.957
- energy of formation from the pure elements (meV per atom) = 156

Cell: 5.525 5.525 5.525 Å, 60.00 60.00 60.00°
Sites, in units of the cell vectors:
Zr1 0.125 0.125 0.125
Zr2 0.875 0.875 0.875
Ti1 0.000 0.500 0.500
Ti2 0.500 0.000 0.500
Ti3 0.500 0.500 0.000
Ti4 0.500 0.500 0.500

Computed, not measured: a relaxed Er2Tm4Te9 crystal at the PBE level of DFT.

Calculated values
- SG = P-3c1 (165)
- ΔE_f (raw) (eV/atom) = -1.335
- VASP energy (eV/atom) = -5.021

Cell: 7.609 7.609 20.862 Å, 90.00 90.00 120.00°
Sites, in units of the cell vectors:
Er1 0.000 0.000 0.158
Er2 0.000 0.000 0.342
Er3 0.000 0.000 0.658
Er4 0.000 0.000 0.842
Tm1 0.333 0.667 0.009
Tm2 0.333 0.667 0.325
Tm3 0.333 0.667 0.509
Tm4 0.333 0.667 0.825
Tm5 0.667 0.333 0.175
Tm6 0.667 0.333 0.491
Tm7 0.667 0.333 0.675
Tm8 0.667 0.333 0.991
Te1 0.000 0.316 0.250
Te2 0.000 0.684 0.750
Te3 0.018 0.353 0.917
Te4 0.018 0.665 0.417
Te5 0.316 0.000 0.250
Te6 0.316 0.316 0.750
Te7 0.335 0.353 0.417
Te8 0.335 0.982 0.917
Te9 0.353 0.018 0.583
Te10 0.353 0.335 0.083
Te11 0.647 0.665 0.917
Te12 0.647 0.982 0.417
Te13 0.665 0.018 0.083
Te14 0.665 0.647 0.583
Te15 0.684 0.000 0.750
Te16 0.684 0.684 0.250
Te17 0.982 0.335 0.583
Te18 0.982 0.647 0.083

Which value of VASP energy does entry 1 give? -7.957 eV/atom

Look up the VASP energy of the second one. -5.021 eV/atom

What is the VASP energy in the second record? -5.021 eV/atom